[1]
ZrHgPb after structural relaxation, computed with GGA-PBE.

Properties
E above lowest polymorph = 0.053 eV/atom
crystal system = monoclinic
energy of formation = -1.2 kcal/mol of atoms

Lattice parameters (Å, degrees): 5.441 3.251 8.653 90.00 102.59 90.00
Space group P2_1/m (No. 11)
Asymmetric unit:
Zr: 0.125 0.250 0.152 (multiplicity 2)
Hg: 0.234 0.750 0.465 (multiplicity 2)
Pb: 0.363 0.250 0.823 (multiplicity 2)

[2]
ZrHgPb after structural relaxation, computed with GGA-PBE.

Properties
E above lowest polymorph = 0.000 eV/atom
crystal system = orthorhombic
energy of formation = -2.4 kcal/mol of atoms

Lattice parameters (Å, degrees): 4.370 14.903 4.354 90.00 90.00 90.00
Space group Cmmm (No. 65)
Asymmetric unit:
Zr: 0.000 0.154 0.000 (multiplicity 4)
Hg: 0.000 0.000 0.500 (multiplicity 2)
Hg: 0.000 0.500 0.000 (multiplicity 2)
Pb: 0.000 0.330 0.500 (multiplicity 4)

[3]
Zr2Hg2Pb after structural relaxation, computed with GGA-PBE.

Properties
E above lowest polymorph = 0.000 eV/atom
crystal system = tetragonal
energy of formation = 0.5 kcal/mol of atoms

Lattice parameters (Å, degrees): 7.727 7.727 4.112 90.00 90.00 90.00
Space group P4/mbm (No. 127)
Asymmetric unit:
Zr: 0.143 0.357 0.000 (multiplicity 4)
Hg: 0.154 0.654 0.500 (multiplicity 4)
Pb: 0.000 0.000 0.000 (multiplicity 2)

[4]
HgPd4 after structural relaxation, computed with GGA-PBE.

Properties
E above lowest polymorph = 1.052 eV/atom
crystal system = cubic
energy of formation = 26.9 kcal/mol of atoms

Lattice parameters (Å, degrees): 4.998 4.998 4.998 90.00 90.00 90.00
Space group Pm-3m (No. 221)
Asymmetric unit:
Hg: 0.000 0.000 0.000 (multiplicity 1)
Pd: 0.000 0.000 0.500 (multiplicity 3)
Pd: 0.500 0.500 0.500 (multiplicity 1)

Look up the energy of formation of the first one.
-1.2 kcal/mol of atoms